A relaxed Tm3Ga3Ag crystal, computed with PBE.

Calculated values
ρ, Mg/m³: 8.9
Total magnetization, μB/f.u.: 0.0
Crystal system: monoclinic
Formation enthalpy at 0 K, eV/f.u.: -3.874

Cell: 10.678 4.374 14.042 Å, 90.00 109.72 90.00°
Space group C2/m (No. 12)
Symmetry-distinct sites (fractional):
Tm (0.032, 0.000, 0.379)
Tm (0.105, 0.000, 0.924)
Tm (0.235, 0.000, 0.222)
Ga (0.022, 0.500, 0.227)
Ga (0.111, 0.500, 0.075)
Ga (0.124, 0.500, 0.547)
Ag (0.243, 0.500, 0.393)